(1)
Material: Sc2Zn2GaPd5
Method: DFT, PBE
State: relaxed

Summary:
symmetry	P4/mbm (127)
energy	-5.07	eV per atom
formation energy	-0.646	eV/atom
density of states at the Fermi level	6.12	states/eV/f.u.

```
20
Lattice="3.678 0.000 0.000 0.000 9.467 0.000 0.000 0.000 9.467" Properties=species:S:1:pos:R:3 pbc="T T T"
Sc 0.000 6.371 1.637
Sc 0.000 3.096 7.830
Sc 0.000 1.637 3.096
Sc 0.000 7.830 6.371
Zn 0.000 1.187 5.921
Zn 0.000 8.280 3.546
Zn 0.000 5.921 8.280
Zn 0.000 3.546 1.187
Ga 0.000 0.000 0.000
Ga 0.000 4.733 4.733
Pd 1.839 1.884 0.658
Pd 1.839 7.583 8.809
Pd 1.839 0.658 7.583
Pd 1.839 6.618 4.076
Pd 1.839 8.809 1.884
Pd 1.839 2.849 5.391
Pd 1.839 5.391 6.618
Pd 1.839 4.076 2.849
Pd 1.839 4.733 0.000
Pd 1.839 0.000 4.733
```


(2)
Material: Sc2ZnGa2Pd5
Method: DFT, PBE
State: relaxed

Summary:
symmetry	P4/mbm (127)
energy	-5.26	eV per atom
formation energy	-0.665	eV/atom
density of states at the Fermi level	7.47	states/eV/f.u.

```
20
Lattice="-0.795 2.453 2.663 1.401 -6.692 6.583 9.164 2.419 0.508" Properties=species:S:1:pos:R:3 pbc="T T T"
Sc 2.527 -4.085 4.517
Sc 8.038 -0.189 2.574
Sc 3.240 -0.366 1.304
Sc 7.325 -3.908 5.787
Zn 0.000 0.000 0.000
Zn 5.283 -2.137 3.546
Ga 5.921 0.668 1.152
Ga 4.645 -4.942 5.939
Ga 8.881 -2.082 4.569
Ga 1.684 -2.192 2.522
Pd 0.509 0.043 2.692
Pd 9.262 -1.864 7.062
Pd 7.016 2.702 2.185
Pd 4.544 -2.423 6.168
Pd 2.754 -4.523 7.569
Pd 5.227 0.602 3.586
Pd 6.827 -0.879 5.428
Pd 2.944 -0.942 4.326
Pd 0.303 -2.120 4.623
Pd 4.185 2.436 1.585
```


(3)
Material: ScZnGaPd
Method: DFT, PBE
State: relaxed

Summary:
symmetry	F-43m (216)
energy	-4.56	eV per atom
formation energy	-0.601	eV/atom
density of states at the Fermi level	2.54	states/eV/f.u.

```
4
Lattice="4.520 0.000 0.000 2.260 3.915 0.000 2.260 1.305 3.691" Properties=species:S:1:pos:R:3 pbc="T T T"
Sc 0.000 0.000 0.000
Zn 2.260 1.305 0.923
Ga 4.520 2.610 1.845
Pd 6.780 3.915 2.768
```


(4)
Material: GaPd6Se
Method: DFT, PBE
State: relaxed

Summary:
symmetry	P-1 (2)
energy	-4.89	eV per atom
raw formation energy	-0.180	eV/atom
density of states at the Fermi level	4.93	states/eV/f.u.

```
8
Lattice="-2.139 3.867 4.256 0.124 -1.596 5.916 3.032 2.409 3.762" Properties=species:S:1:pos:R:3 pbc="T T T"
Ga 0.509 2.340 6.967
Pd 2.298 1.105 5.740
Pd 0.669 4.686 6.129
Pd -0.326 2.214 4.618
Pd 0.348 -0.007 7.805
Pd -1.281 3.575 8.194
Pd 1.343 2.465 9.316
Se 0.000 0.000 0.000
```


(5)
Material: GaPd3Se
Method: DFT, PBE
State: relaxed

Summary:
symmetry	Pm-3m (221)
excess energy over the best structure of this formula in the dataset	238.5	kJ/mol of formula units
energy	-4.29	eV per atom
raw formation energy	0.129	eV/atom
density of states at the Fermi level	5.03	states/eV/f.u.

```
5
Lattice="4.731 0.000 0.000 0.000 4.731 0.000 0.000 0.000 4.731" Properties=species:S:1:pos:R:3 pbc="T T T"
Ga 2.365 2.365 2.365
Se 0.000 0.000 0.000
Pd 0.000 2.365 0.000
Pd 0.000 0.000 2.365
Pd 2.365 0.000 0.000
```


(6)
Material: GaPd2Se
Method: DFT, PBE
State: relaxed

Summary:
symmetry	I-42d (122)
energy	-4.50	eV per atom
raw formation energy	-0.276	eV/atom
density of states at the Fermi level	2.82	states/eV/f.u.

```
8
Lattice="4.228 0.000 0.000 0.000 4.228 0.000 2.114 2.114 8.205" Properties=species:S:1:pos:R:3 pbc="T T T"
Ga 2.114 2.114 0.000
Ga 2.114 4.228 4.103
Se 0.000 0.000 0.000
Se 4.228 2.114 4.103
Pd 3.209 1.057 2.051
Pd 1.020 3.171 2.051
Pd 3.171 3.134 6.154
Pd 5.285 5.323 6.154
```


(7)
Material: GaPd2Se
Method: DFT, PBE
State: relaxed

Summary:
symmetry	Fm-3m (225)
energy	-4.48	eV per atom
raw formation energy	-0.252	eV/atom
density of states at the Fermi level	3.47	states/eV/f.u.

```
4
Lattice="0.534 -0.667 4.439 2.489 2.883 2.435 -2.000 2.772 2.959" Properties=species:S:1:pos:R:3 pbc="T T T"
Ga 0.000 0.000 0.000
Se 0.512 2.494 4.917
Pd 0.256 1.247 2.458
Pd 0.768 3.741 7.375
```


(8)
Material: Ga3PdSe
Method: DFT, PBE
State: relaxed

Summary:
symmetry	Pm-3m (221)
excess energy over the best structure of this formula in the dataset	381.7	kJ/mol of formula units
energy	-2.96	eV per atom
raw formation energy	0.590	eV/atom
density of states at the Fermi level	2.80	states/eV/f.u.

```
5
Lattice="-4.831 0.100 -1.214 -1.086 -2.605 4.106 -0.552 4.246 2.547" Properties=species:S:1:pos:R:3 pbc="T T T"
Ga -0.543 -1.302 2.053
Ga -0.276 2.123 1.274
Ga -2.416 0.050 -0.607
Se 0.000 0.000 0.000
Pd -3.235 0.871 2.720
```


(9)
Material: GaPd5Se
Method: DFT, PBE
State: relaxed

Summary:
symmetry	C2/c (15)
energy	-4.79	eV per atom
raw formation energy	-0.153	eV/atom
density of states at the Fermi level	4.09	states/eV/f.u.

```
14
Lattice="6.406 -0.646 0.560 1.420 6.280 0.560 3.313 2.385 6.577" Properties=species:S:1:pos:R:3 pbc="T T T"
Ga 4.808 3.321 2.204
Ga 6.331 4.698 5.493
Pd 6.248 5.221 3.078
Pd 3.554 5.038 3.637
Pd 8.590 5.462 6.367
Pd 6.261 1.303 2.204
Pd 3.577 5.055 0.770
Pd 7.562 2.965 6.926
Pd 4.878 6.717 5.493
Pd 2.549 2.558 1.330
Pd 7.585 2.982 4.059
Pd 4.891 2.798 4.618
Se 0.000 0.000 0.000
Se 1.657 1.193 3.289
```


(10)
Material: GaPd2Se2
Method: DFT, PBE
State: relaxed

Summary:
symmetry	I4/mmm (139)
excess energy over the best structure of this formula in the dataset	0.0	kJ/mol of formula units
energy	-4.22	eV per atom
raw formation energy	-0.148	eV/atom
density of states at the Fermi level	2.11	states/eV/f.u.

```
5
Lattice="5.085 0.000 0.000 0.000 5.085 0.000 2.543 2.543 3.958" Properties=species:S:1:pos:R:3 pbc="T T T"
Ga 0.000 0.000 0.000
Se 5.085 2.543 1.979
Se 2.543 5.085 1.979
Pd 2.543 2.543 1.445
Pd 5.085 5.085 2.513
```


(11)
Material: GaPd3Se
Method: DFT, PBE
State: relaxed

Summary:
symmetry	Cmmm (65)
excess energy over the best structure of this formula in the dataset	0.0	kJ/mol of formula units
energy	-4.78	eV per atom
raw formation energy	-0.366	eV/atom
density of states at the Fermi level	2.21	states/eV/f.u.

```
10
Lattice="3.024 0.000 -0.001 0.001 8.242 1.057 0.002 3.858 7.360" Properties=species:S:1:pos:R:3 pbc="T T T"
Ga 1.101 8.601 6.227
Ga 2.611 2.551 2.018
Pd 2.612 6.558 6.601
Pd 2.612 10.644 5.852
Pd 2.611 5.102 0.913
Pd 1.098 0.862 0.844
Pd 2.612 8.242 4.181
Pd 1.099 4.241 3.194
Se 1.100 6.672 2.547
Se 1.100 4.480 5.699
```


(12)
Material: GaPdSe2
Method: DFT, PBE
State: relaxed

Summary:
symmetry	R-3m (166)
energy	-3.94	eV per atom
raw formation energy	-0.142	eV/atom
density of states at the Fermi level	3.26	states/eV/f.u.

```
4
Lattice="1.330 -7.776 1.354 2.173 -7.376 -2.221 4.655 -6.500 0.371" Properties=species:S:1:pos:R:3 pbc="T T T"
Ga 4.079 -10.826 -0.249
Se 7.315 -19.412 -0.446
Se 0.844 -2.240 -0.051
Pd 0.000 0.000 0.000
```